(1)
Computed, not measured: InIrPb2 at its PBEsol-relaxed geometry at the meta-GGA SCAN level of DFT.

POSCAR file:
```
InIrPb2
1.0
4.5387 0.0000 0.0000
0.0000 4.5387 0.0000
0.0000 0.0000 4.3436
In Ir Pb
1 1 2
direct
0.0000 0.0000 0.0000
0.5000 0.5000 0.0000
0.0000 0.5000 0.5000
0.5000 0.0000 0.5000
```

Results
**Total energy**: -63.45 eV/atom
**ρ**: 13.39 Mg/m³
**Magnetization**: 0.0000 μB/atom
**Crystal system**: tetragonal

(2)
Computed, not measured: ReSnTePb2 at its PBEsol-relaxed geometry at the meta-GGA SCAN level of DFT.

POSCAR file:
```
ReSnTePb2
1.0
5.7993 0.0000 0.0000
0.0000 5.7993 0.0000
0.0000 0.0000 5.5041
Re Sn Te Pb
1 1 1 2
direct
0.0000 0.0000 0.0000
0.5000 0.5000 0.0000
0.5000 0.5000 0.5000
0.0000 0.5000 0.5000
0.5000 0.0000 0.5000
```

Results
**Total energy**: -57.30 eV/atom
**ρ**: 7.60 Mg/m³
**Magnetization**: 0.8565 μB/atom
**Uncorrected formation energy**: 1.86 eV/atom
**Crystal system**: tetragonal

(3)
Computed, not measured: MgAg3Pd at its PBEsol-relaxed geometry at the meta-GGA SCAN level of DFT.

POSCAR file:
```
MgAg3Pd
1.0
4.6832 0.0000 0.0000
0.0000 4.6832 0.0000
0.0000 0.0000 4.6832
Mg Ag Pd
1 3 1
direct
0.0000 0.0000 0.0000
0.0000 0.0000 0.5000
0.0000 0.5000 0.0000
0.5000 0.0000 0.0000
0.5000 0.5000 0.5000
```

Results
**Total energy**: -25.54 eV/atom
**ρ**: 7.35 Mg/m³
**Magnetization**: 0.0000 μB/atom
**Crystal system**: cubic

(4)
Computed, not measured: NaMg30FeO32 at its PBEsol-relaxed geometry at the meta-GGA SCAN level of DFT.

POSCAR file:
```
NaMg30FeO32
1.0
8.4381 0.0000 0.0000
0.0000 8.4381 0.0000
0.0000 0.0000 8.4380
Na Mg Fe O
1 30 1 32
direct
0.0000 0.0000 0.0000
0.0000 0.0000 0.5000
0.0000 0.2479 0.2489
0.0000 0.2479 0.7511
0.0000 0.5000 0.0000
0.0000 0.5000 0.5000
0.0000 0.7521 0.2489
0.0000 0.7521 0.7511
0.2479 0.0000 0.2489
0.2479 0.0000 0.7511
0.2478 0.2478 0.0000
0.2478 0.7522 0.0000
0.2490 0.2490 0.5000
0.2494 0.5000 0.2496
0.2494 0.5000 0.7504
0.2490 0.7510 0.5000
0.5000 0.0000 0.0000
0.5000 0.0000 0.5000
0.5000 0.2494 0.2496
0.5000 0.2494 0.7504
0.5000 0.5000 0.5000
0.5000 0.7506 0.2496
0.5000 0.7506 0.7504
0.7510 0.2490 0.5000
0.7506 0.5000 0.2496
0.7506 0.5000 0.7504
0.7510 0.7510 0.5000
0.7521 0.0000 0.2489
0.7521 0.0000 0.7511
0.7522 0.2478 0.0000
0.7522 0.7522 0.0000
0.5000 0.5000 0.0000
0.0000 0.0000 0.2622
0.0000 0.0000 0.7378
0.0000 0.2532 0.5000
0.0000 0.2649 0.0000
0.0000 0.5000 0.2498
0.0000 0.5000 0.7502
0.0000 0.7351 0.0000
0.0000 0.7468 0.5000
0.2510 0.2510 0.2494
0.2510 0.2510 0.7506
0.2510 0.7490 0.2494
0.2510 0.7490 0.7506
0.2532 0.0000 0.5000
0.2535 0.5000 0.5000
0.2649 0.0000 0.0000
0.2652 0.5000 0.0000
0.5000 0.0000 0.2498
0.5000 0.0000 0.7502
0.5000 0.2535 0.5000
0.5000 0.2652 0.0000
0.5000 0.5000 0.2385
0.5000 0.5000 0.7615
0.5000 0.7348 0.0000
0.5000 0.7465 0.5000
0.7351 0.0000 0.0000
0.7348 0.5000 0.0000
0.7468 0.0000 0.5000
0.7465 0.5000 0.5000
0.7490 0.2510 0.2494
0.7490 0.2510 0.7506
0.7490 0.7490 0.2494
0.7490 0.7490 0.7506
```

Results
**Total energy**: -8.71 eV/atom
**ρ**: 3.65 Mg/m³
**Magnetization**: 0.0156 μB/atom
**Uncorrected formation energy**: -2.92 eV/atom
**Crystal system**: tetragonal

(5)
Computed, not measured: TaMoW2 at its PBEsol-relaxed geometry at the meta-GGA SCAN level of DFT.

POSCAR file:
```
TaMoW2
1.0
-1.5851 2.2338 4.5081
1.5851 -2.2338 4.5081
1.5851 2.2338 -4.5081
Ta Mo W
1 1 2
direct
0.0000 0.0000 0.0000
0.5000 0.5000 0.0000
0.2537 0.7537 0.5000
0.7463 0.2463 0.5000
```

Results
**Distance to the lowest polymorph of the same formula**: 0 meV/atom
**Total energy**: -60.34 eV/atom
**ρ**: 16.76 Mg/m³
**Magnetization**: 0.0000 μB/atom
**Crystal system**: orthorhombic

(6)
Computed, not measured: Sr3Tl at its PBEsol-relaxed geometry at the meta-GGA SCAN level of DFT.

POSCAR file:
```
Sr3Tl
1.0
4.0529 0.0000 0.0000
0.0000 4.0529 0.0000
0.0000 0.0000 10.2636
Sr Tl
3 1
direct
0.0000 0.0000 0.0000
0.5000 0.5000 0.3108
0.5000 0.5000 0.6892
0.0000 0.0000 0.5000
```

Results
**Total energy**: -35.12 eV/atom
**ρ**: 4.60 Mg/m³
**Magnetization**: 0.0078 μB/atom
**Crystal system**: tetragonal